{
  "formula": "BaLa2Ir2",
  "functional": "GGA-PBE",
  "state": "relaxed",
  "sg": "P4/mbm, No. 127",
  "de_polymorph_kj_per_mol_atoms": 1.1,
  "lattice": [[8.336, 0.000, 0.000], [0.000, 8.336, 0.000], [0.000, 0.000, 3.928]],
  "species": ["Ba", "Ba", "La", "La", "La", "La", "Ir", "Ir", "Ir", "Ir"],
  "frac_coords": [[0.000, 0.000, 0.000], [0.500, 0.500, 0.000], [0.148, 0.352, 0.500], [0.352, 0.852, 0.500], [0.648, 0.148, 0.500], [0.852, 0.648, 0.500], [0.133, 0.633, 0.000], [0.367, 0.133, 0.000], [0.633, 0.867, 0.000], [0.867, 0.367, 0.000]]
}


{
  "formula": "BaLaIr2",
  "functional": "GGA-PBE",
  "state": "relaxed",
  "sg": "I-4m2, No. 119",
  "de_polymorph_kj_per_mol_atoms": 33.9,
  "lattice": [[-2.178, 2.178, 5.095], [2.178, -2.178, 5.095], [2.178, 2.178, -5.095]],
  "species": ["Ba", "La", "Ir", "Ir"],
  "frac_coords": [[0.000, 0.000, 0.000], [0.750, 0.250, 0.500], [0.250, 0.750, 0.500], [0.500, 0.500, 0.000]]
}


{
  "formula": "Ba2LaIr",
  "functional": "GGA-PBE",
  "state": "relaxed",
  "sg": "Pm, No. 6",
  "de_polymorph_kj_per_mol_atoms": 1.7,
  "lattice": [[4.318, 0.000, 0.000], [0.000, 4.011, 0.000], [-2.157, 0.000, 9.581]],
  "species": ["Ba", "Ba", "La", "Ir"],
  "frac_coords": [[0.000, 0.000, 0.000], [0.309, 0.500, 0.618], [0.649, 0.500, 0.296], [0.167, 0.000, 0.332]]
}


{
  "formula": "BaLaIr2",
  "functional": "GGA-PBE",
  "state": "relaxed",
  "sg": "Cmmm, No. 65",
  "de_polymorph_kj_per_mol_atoms": 16.5,
  "lattice": [[3.502, -3.952, 0.000], [3.502, 3.952, 0.000], [0.000, 0.000, 3.562]],
  "species": ["Ba", "La", "Ir", "Ir"],
  "frac_coords": [[0.000, 0.000, 0.000], [0.500, 0.500, 0.000], [0.000, 0.500, 0.500], [0.500, 0.000, 0.500]]
}


{
  "formula": "BaLaIr2",
  "functional": "GGA-PBE",
  "state": "relaxed",
  "sg": "R-3m, No. 166",
  "de_polymorph_kj_per_mol_atoms": 32.4,
  "lattice": [[2.056, 1.187, 7.799], [-2.056, 1.187, 7.799], [0.000, -2.374, 7.799]],
  "species": ["Ba", "La", "Ir", "Ir"],
  "frac_coords": [[0.000, 0.000, 0.000], [0.500, 0.500, 0.500], [0.241, 0.241, 0.241], [0.759, 0.759, 0.759]]
}


{
  "formula": "Ba2LaIr",
  "functional": "GGA-PBE",
  "state": "relaxed",
  "sg": "I4/mmm, No. 139",
  "de_polymorph_kj_per_mol_atoms": 48.9,
  "lattice": [[-2.289, 2.289, 5.988], [2.289, -2.289, 5.988], [2.289, 2.289, -5.988]],
  "species": ["Ba", "Ba", "La", "Ir"],
  "frac_coords": [[0.250, 0.750, 0.500], [0.750, 0.250, 0.500], [0.000, 0.000, 0.000], [0.500, 0.500, 0.000]]
}